No. 1
Sr3Te2Br2 (GGA-PBE, optimized geometry); formation energy from raw total energies = -39.92 kcal/mol of atoms; DOS(E_F) = 0.0 states/eV/f.u.; theoretical density = 3.95 g cm⁻³; V = 285 Å³/f.u.; spin magnetization = 0.00 μB per cell; calculated total energy = -26.79 eV per cell
1.0
4.6869 -0.0048 0.0012
-2.3359 7.1904 -0.3484
-0.0040 -1.4238 8.5321
Sr Br Te
3 2 2
direct
0.0000 0.0000 0.0000 Sr
0.2341 0.4682 0.7136 Sr
0.7659 0.5318 0.2864 Sr
0.3654 0.7307 0.0859 Br
0.6346 0.2693 0.9141 Br
0.1246 0.2491 0.3482 Te
0.8754 0.7509 0.6518 Te


No. 2
VGa2Pt (GGA-PBE, optimized geometry); DOS(E_F) = 4.7 states/eV/f.u.; theoretical density = 9.47 g cm⁻³; V = 68 Å³/f.u.; spin magnetization = 2.12 μB per cell; calculated total energy = -22.22 eV per cell
1.0
4.1940 0.0000 0.0000
2.0970 3.6321 0.0000
2.0970 1.2107 4.4362
Ga V Pt
2 1 1
direct
0.0693 0.0693 0.7920 Ga
0.2670 0.2670 0.1990 Ga
0.4833 0.4833 0.5500 V
0.6803 0.6803 0.9591 Pt


No. 3
LaPd3Pb2 (GGA-PBE, optimized geometry); DOS(E_F) = 3.4 states/eV/f.u.; theoretical density = 10.56 g cm⁻³; V = 137 Å³/f.u.; energy above the most stable polymorph in this dataset = 49.1 meV/atom; spin magnetization = 0.00 μB per cell; calculated total energy = -92.52 eV per cell
1.0
-1.6919 -4.1201 0.1904
0.9268 1.6029 -9.2675
9.2733 -3.6607 3.1856
Pb Pd La
6 9 3
direct
0.1901 0.3802 0.1301 Pb
0.8099 0.6198 0.8699 Pb
0.3631 0.7263 0.5470 Pb
0.5455 0.0911 0.7762 Pb
0.6369 0.2737 0.4530 Pb
0.4545 0.9089 0.2238 Pb
0.5000 0.0000 0.5000 Pd
0.6847 0.3694 0.9656 Pd
0.6044 0.2088 0.1745 Pd
0.3153 0.6306 0.0344 Pd
0.9537 0.9075 0.6884 Pd
0.2148 0.4296 0.4018 Pd
0.7852 0.5704 0.5982 Pd
0.0463 0.0925 0.3116 Pd
0.3956 0.7912 0.8255 Pd
0.8286 0.6572 0.2839 La
0.1714 0.3428 0.7161 La
0.0000 0.0000 0.0000 La


No. 4
MgZnGe2 (GGA-PBE, optimized geometry); DOS(E_F) = 2.0 states/eV/f.u.; theoretical density = 5.23 g cm⁻³; V = 75 Å³/f.u.; energy above the most stable polymorph in this dataset = 66.9 meV/atom; spin magnetization = 0.00 μB per cell; calculated total energy = -11.68 eV per cell
1.0
3.1407 -0.5820 3.4835
0.7696 3.4880 3.0950
-1.4797 -0.4356 4.4674
Ge Zn Mg
2 1 1
direct
0.2500 0.2500 0.2500 Ge
0.7500 0.7500 0.7500 Ge
0.5000 0.5000 0.5000 Zn
0.0000 0.0000 0.0000 Mg


No. 5
SrCaCdGe (GGA-PBE, optimized geometry); DOS(E_F) = 1.5 states/eV/f.u.; theoretical density = 4.59 g cm⁻³; V = 113 Å³/f.u.; spin magnetization = 0.00 μB per cell; calculated total energy = -11.05 eV per cell
1.0
-4.7678 1.6533 2.0057
-1.2780 -1.0439 5.1735
-0.1667 4.0406 3.6240
Ca Cd Sr Ge
1 1 1 1
direct
0.0000 0.0000 0.0000 Ca
0.7500 0.7500 0.7500 Cd
0.5000 0.5000 0.5000 Sr
0.2500 0.2500 0.2500 Ge


No. 6
NaZrTiS4 (GGA-PBE, optimized geometry); formation energy from raw total energies = -31.45 kcal/mol of atoms; DOS(E_F) = 3.0 states/eV/f.u.; theoretical density = 3.11 g cm⁻³; V = 155 Å³/f.u.; spin magnetization = 1.35 μB per cell; calculated total energy = -87.64 eV per cell
1.0
7.8149 0.0000 0.0000
-3.9074 6.4949 -0.4038
0.0000 -3.8651 6.3562
S Na Ti Zr
8 2 2 2
direct
0.2655 0.5309 0.7463 S
0.7027 0.9826 0.7413 S
0.7345 0.4691 0.2537 S
0.7345 0.4691 0.7154 S
0.2973 0.0174 0.2587 S
0.7202 0.0174 0.2587 S
0.2655 0.5309 0.2846 S
0.2798 0.9826 0.7413 S
0.8907 0.7813 0.1407 Na
0.1093 0.2187 0.8593 Na
0.5000 0.0000 0.5000 Ti
0.5000 0.0000 0.0000 Ti
0.5000 0.5000 0.5000 Zr
0.0000 0.5000 0.5000 Zr


No. 7
LaRe4S8 (GGA-PBE, optimized geometry); formation energy from raw total energies = -9.55 kcal/mol of atoms; DOS(E_F) = 9.3 states/eV/f.u.; theoretical density = 7.02 g cm⁻³; V = 270 Å³/f.u.; spin magnetization = 0.00 μB per cell; calculated total energy = -93.13 eV per cell
1.0
5.5579 0.3760 -3.5667
-3.2261 5.7745 0.0173
0.0433 0.0813 8.0391
S Re La
8 4 1
direct
0.9786 0.2318 0.2104 S
0.4737 0.7339 0.2076 S
0.9749 0.7423 0.2055 S
0.5368 0.7694 0.7945 S
0.0214 0.7682 0.7896 S
0.5263 0.2661 0.7924 S
0.4632 0.2306 0.2055 S
0.0251 0.2577 0.7945 S
0.0000 0.0000 0.0000 Re
0.0000 0.5000 0.0000 Re
0.5000 0.5000 0.0000 Re
0.5000 0.0000 0.0000 Re
0.0000 0.5000 0.5000 La


No. 8
Rb2Cr2Br5 (GGA-PBE, optimized geometry); formation energy from raw total energies = -22.30 kcal/mol of atoms; DOS(E_F) = 3.6 states/eV/f.u.; theoretical density = 3.59 g cm⁻³; V = 312 Å³/f.u.; spin magnetization = 9.00 μB per cell; calculated total energy = -38.25 eV per cell
1.0
5.4323 0.0000 0.0000
-2.7162 7.1752 -0.5983
0.0000 -1.8441 8.1483
Br Rb Cr
5 2 2
direct
0.6662 0.3323 0.9005 Br
0.1466 0.2932 0.5700 Br
0.0000 0.0000 0.0000 Br
0.8534 0.7068 0.4300 Br
0.3338 0.6677 0.0995 Br
0.3977 0.7953 0.6984 Rb
0.6023 0.2047 0.3016 Rb
0.1535 0.3071 0.8784 Cr
0.8465 0.6929 0.1216 Cr


No. 9
LiErTlBi (GGA-PBE, optimized geometry); DOS(E_F) = 2.6 states/eV/f.u.; theoretical density = 9.28 g cm⁻³; V = 105 Å³/f.u.; spin magnetization = 0.00 μB per cell; calculated total energy = -14.03 eV per cell
1.0
5.2971 0.0000 0.0000
2.6486 4.5874 0.0000
2.6486 1.5291 4.3251
Li Er Bi Tl
1 1 1 1
direct
0.2500 0.2500 0.2500 Li
0.7500 0.7500 0.7500 Er
0.5000 0.5000 0.5000 Bi
0.0000 0.0000 0.0000 Tl


No. 10
LiCa2Ru2 (GGA-PBE, optimized geometry); DOS(E_F) = 2.5 states/eV/f.u.; theoretical density = 4.51 g cm⁻³; V = 106 Å³/f.u.; spin magnetization = 1.93 μB per cell; calculated total energy = -45.83 eV per cell
1.0
6.8200 0.0000 0.0000
0.0000 6.8200 0.0000
0.0000 0.0000 4.5748
Ca Ru Li
4 4 2
direct
0.1750 0.6750 0.5000 Ca
0.8250 0.3250 0.5000 Ca
0.6750 0.8250 0.5000 Ca
0.3250 0.1750 0.5000 Ca
0.6222 0.1222 0.0000 Ru
0.1222 0.3778 0.0000 Ru
0.8778 0.6222 0.0000 Ru
0.3778 0.8778 0.0000 Ru
0.5000 0.5000 0.0000 Li
0.0000 0.0000 0.0000 Li


No. 11
CuRh3 (GGA-PBE, optimized geometry); DOS(E_F) = 6.8 states/eV/f.u.; theoretical density = 10.86 g cm⁻³; V = 57 Å³/f.u.; spin magnetization = 2.47 μB per cell; calculated total energy = -50.06 eV per cell
1.0
-2.9847 3.8132 0.2076
-0.8567 -0.4118 -4.7527
-3.7215 -2.9634 0.9276
Rh Cu
6 2
direct
0.0000 0.2500 0.5000 Rh
0.5000 0.0000 0.2500 Rh
0.5000 0.0000 0.7500 Rh
0.7500 0.5000 0.0000 Rh
0.0000 0.7500 0.5000 Rh
0.2500 0.5000 0.0000 Rh
0.0000 0.0000 0.0000 Cu
0.5000 0.5000 0.5000 Cu


No. 12
Ga2BiTe (GGA-PBE, optimized geometry); formation energy from raw total energies = -0.04 kcal/mol of atoms; DOS(E_F) = 1.5 states/eV/f.u.; theoretical density = 7.40 g cm⁻³; V = 107 Å³/f.u.; energy above the most stable polymorph in this dataset = 34.4 meV/atom; spin magnetization = 0.00 μB per cell; calculated total energy = -13.08 eV per cell
1.0
3.9975 0.0000 0.0000
1.9988 3.4620 0.0000
1.9988 1.1540 7.7211
Bi Ga Te
1 2 1
direct
0.6692 0.6692 0.9925 Bi
0.0869 0.0869 0.7393 Ga
0.2471 0.2471 0.2586 Ga
0.4968 0.4968 0.5096 Te


No. 13
BeB2AsO (GGA-PBE, optimized geometry); formation energy from raw total energies = 17.24 kcal/mol of atoms; DOS(E_F) = 1.2 states/eV/f.u.; theoretical density = 3.80 g cm⁻³; V = 53 Å³/f.u.; spin magnetization = 0.00 μB per cell; calculated total energy = -22.95 eV per cell
1.0
-0.7556 -3.8181 1.5586
2.2585 0.3614 1.9802
-2.6853 1.6581 2.7601
B O Be As
2 1 1 1
direct
0.0000 0.0000 0.5000 B
0.5000 0.0000 0.0000 B
0.0000 0.0000 0.0000 O
0.0000 0.5000 0.0000 Be
0.5000 0.5000 0.5000 As


No. 14
LaZnTc2 (GGA-PBE, optimized geometry); DOS(E_F) = 4.1 states/eV/f.u.; theoretical density = 8.99 g cm⁻³; V = 74 Å³/f.u.; spin magnetization = 0.00 μB per cell; calculated total energy = -25.48 eV per cell
1.0
4.6977 -0.1321 0.0000
0.0598 4.6992 0.0000
-2.3788 -2.2835 3.3486
La Tc Zn
1 2 1
direct
0.7500 0.2500 0.5000 La
0.2500 0.7500 0.5000 Tc
0.0000 0.0000 0.0000 Tc
0.5000 0.5000 0.0000 Zn


No. 15
Ta2HgW (GGA-PBE, optimized geometry); DOS(E_F) = 2.9 states/eV/f.u.; theoretical density = 16.93 g cm⁻³; V = 73 Å³/f.u.; spin magnetization = 0.00 μB per cell; calculated total energy = -35.81 eV per cell
1.0
-0.5675 -2.0429 3.8407
2.2600 -1.6635 -0.5509
4.9244 2.8386 2.2375
Hg W Ta
1 1 2
direct
0.5000 0.7500 0.7500 Hg
0.5000 0.2500 0.2500 W
0.0000 0.4467 0.4785 Ta
0.0000 0.0533 0.0215 Ta


No. 16
Mn2AlRu (GGA-PBE, optimized geometry); DOS(E_F) = 4.7 states/eV/f.u.; theoretical density = 7.98 g cm⁻³; V = 50 Å³/f.u.; spin magnetization = 1.99 μB per cell; calculated total energy = -32.01 eV per cell
1.0
-2.5033 4.1668 0.3933
-4.8172 -0.2508 0.7173
4.3807 -1.2603 1.7333
Mn Al Ru
2 1 1
direct
0.4995 0.4995 0.0000 Mn
0.0005 0.0005 0.0000 Mn
0.2500 0.7500 0.5000 Al
0.7500 0.2500 0.5000 Ru


No. 17
Ag2PbBr6 (GGA-PBE, optimized geometry); formation energy from raw total energies = -9.23 kcal/mol of atoms; DOS(E_F) = 5.0 states/eV/f.u.; theoretical density = 4.59 g cm⁻³; V = 326 Å³/f.u.; energy above the most stable polymorph in this dataset = 0.0 meV/atom; spin magnetization = 0.00 μB per cell; calculated total energy = -46.10 eV per cell
1.0
-2.4304 -1.2226 -6.6618
-2.3032 -9.5525 0.0189
-9.7271 1.1668 0.7600
Br Pb Ag
12 2 4
direct
0.2502 0.3814 0.9775 Br
0.1880 0.7874 0.9861 Br
0.8120 0.2126 0.0139 Br
0.3120 0.0139 0.2126 Br
0.8817 0.6206 0.6213 Br
0.7502 0.9775 0.3814 Br
0.1183 0.3794 0.3787 Br
0.7498 0.6186 0.0225 Br
0.2498 0.0225 0.6186 Br
0.6880 0.9861 0.7874 Br
0.3817 0.6213 0.6206 Br
0.6183 0.3787 0.3794 Br
0.2500 0.0906 0.9094 Pb
0.7500 0.9094 0.0906 Pb
0.4354 0.1800 0.3622 Ag
0.5646 0.8200 0.6378 Ag
0.0646 0.6378 0.8200 Ag
0.9354 0.3622 0.1800 Ag


No. 18
Cr2NiMo (GGA-PBE, optimized geometry); DOS(E_F) = 4.6 states/eV/f.u.; theoretical density = 8.35 g cm⁻³; V = 51 Å³/f.u.; spin magnetization = 0.00 μB per cell; calculated total energy = -34.46 eV per cell
1.0
-0.9848 0.9543 -8.8698
1.2507 -0.3543 -8.8806
-0.9986 -1.6340 -8.7685
Mo Cr Ni
1 2 1
direct
0.2500 0.2500 0.2500 Mo
0.4937 0.4937 0.4937 Cr
0.0063 0.0063 0.0063 Cr
0.7500 0.7500 0.7500 Ni


No. 19
TbZn2Cu5 (GGA-PBE, optimized geometry); DOS(E_F) = 2.8 states/eV/f.u.; theoretical density = 8.11 g cm⁻³; V = 124 Å³/f.u.; spin magnetization = 0.00 μB per cell; calculated total energy = -28.40 eV per cell
1.0
-0.3527 -1.5611 -3.3338
5.4411 -2.8802 -1.2780
-0.0445 -6.2271 0.8696
Cu Zn Tb
5 2 1
direct
0.3726 0.8142 0.4407 Cu
0.6274 0.1858 0.5593 Cu
0.0000 0.5000 0.5000 Cu
0.3726 0.4407 0.8142 Cu
0.6274 0.5593 0.1858 Cu
0.2512 0.2488 0.2488 Zn
0.7488 0.7512 0.7512 Zn
0.0000 0.0000 0.0000 Tb


No. 20
Ho2SnS4 (GGA-PBE, optimized geometry); formation energy from raw total energies = -36.21 kcal/mol of atoms; theoretical density = 4.98 g cm⁻³; V = 192 Å³/f.u.; energy above the most stable polymorph in this dataset = 0.0 meV/atom; spin magnetization = 0.00 μB per cell; calculated total energy = -81.32 eV per cell
1.0
8.1551 0.2887 -0.1427
-0.2999 8.1546 0.1428
-3.8220 -4.3194 5.7734
S Ho Sn
8 4 2
direct
0.4139 0.1377 0.2762 S
0.3877 0.1638 0.7761 S
0.8615 0.1378 0.7239 S
0.8623 0.1384 0.2761 S
0.8623 0.5862 0.7239 S
0.3885 0.6123 0.7761 S
0.3877 0.6116 0.2239 S
0.8361 0.6123 0.2238 S
0.6250 0.3750 0.2500 Ho
0.6250 0.8750 0.2500 Ho
0.6250 0.3750 0.7500 Ho
0.1250 0.3750 0.7500 Ho
0.0001 0.0000 0.0000 Sn
0.2499 0.7500 0.5000 Sn